Below is a relaxed TbGdMg4 crystal, with properties calculated at the PBE level.

- Total DFT energy (no corrections): -2.652 eV per atom
- Mass density: 4.368 g cm⁻³

Lattice parameters (Å, degrees): 6.195 6.195 6.195 129.95 115.58 85.76
Sites, in units of the cell vectors:
Gd 0.500 0.500 0.000
Mg 0.415 0.167 0.249
Mg 0.084 0.833 0.251
Mg 0.582 0.833 0.749
Mg 0.918 0.167 0.751
Tb 0.000 0.500 0.500